Record 1
# FeAs2P PBE optimized geometry
# * DFT formation energy: 12.5 kJ/mol of atoms
# * Fermi-level density of states: 0.5797 states/eV per atom
# * total magnetic moment: 1.6 Bohr magnetons per cell
data_FeAs2P
_chemical_formula_sum 'Fe2 As4 P2'
_cell_length_a 3.1972
_cell_length_b 3.3770
_cell_length_c 13.4426
_cell_angle_alpha 90.00
_cell_angle_beta 90.00
_cell_angle_gamma 90.00
_symmetry_space_group_name_H-M 'I m m m'
_symmetry_Int_Tables_number 71
_symmetry_space_group_name_Hall '-I 2 2'
loop_
_atom_site_label
_atom_site_type_symbol
_atom_site_fract_x
_atom_site_fract_y
_atom_site_fract_z
Fe1 Fe 0.0000 0.0000 0.0000
As1 As 0.0000 0.5000 0.1407
P1 P 0.0000 0.0000 0.5000

=====

Record 2
# FeAs2P PBE optimized geometry
# * DFT formation energy: 20.6 kJ/mol of atoms
# * Fermi-level density of states: 0.3761 states/eV per atom
# * total magnetic moment: 4.0 Bohr magnetons per cell
data_FeAs2P
_chemical_formula_sum 'Fe4 As8 P4'
_cell_length_a 5.4902
_cell_length_b 5.4902
_cell_length_c 10.5685
_cell_angle_alpha 90.00
_cell_angle_beta 90.00
_cell_angle_gamma 90.00
_symmetry_space_group_name_H-M 'I -4 2 d'
_symmetry_Int_Tables_number 122
_symmetry_space_group_name_Hall 'I -4 2bw'
loop_
_atom_site_label
_atom_site_type_symbol
_atom_site_fract_x
_atom_site_fract_y
_atom_site_fract_z
Fe1 Fe 0.0000 0.0000 0.0000
As1 As 0.2255 0.2500 0.1250
P1 P 0.0000 0.0000 0.5000

=====

Record 3
# FeAs2P PBE optimized geometry
# * DFT formation energy: 11.5 kJ/mol of atoms
# * Fermi-level density of states: 0.3927 states/eV per atom
# * total magnetic moment: 0.6 Bohr magnetons per cell
data_FeAs2P
_chemical_formula_sum 'Fe1 As2 P1'
_cell_length_a 2.7811
_cell_length_b 2.7811
_cell_length_c 8.5380
_cell_angle_alpha 90.00
_cell_angle_beta 90.00
_cell_angle_gamma 90.00
_symmetry_space_group_name_H-M 'P 4 m m'
_symmetry_Int_Tables_number 99
_symmetry_space_group_name_Hall 'P 4 -2'
loop_
_atom_site_label
_atom_site_type_symbol
_atom_site_fract_x
_atom_site_fract_y
_atom_site_fract_z
Fe1 Fe 0.0000 0.0000 0.0000
As1 As 0.0000 0.0000 0.4219
As2 As 0.5000 0.5000 0.8084
P1 P 0.5000 0.5000 0.1501

=====

Record 4
# FeAsP2 PBE optimized geometry
# * DFT formation energy: 10.6 kJ/mol of atoms
# * Fermi-level density of states: 0.5200 states/eV per atom
# * total magnetic moment: 0.5 Bohr magnetons per cell
data_FeAsP2
_chemical_formula_sum 'Fe1 As1 P2'
_cell_length_a 2.7193
_cell_length_b 2.7193
_cell_length_c 8.0583
_cell_angle_alpha 90.00
_cell_angle_beta 90.00
_cell_angle_gamma 90.00
_symmetry_space_group_name_H-M 'P 4/m m m'
_symmetry_Int_Tables_number 123
_symmetry_space_group_name_Hall '-P 4 2'
loop_
_atom_site_label
_atom_site_type_symbol
_atom_site_fract_x
_atom_site_fract_y
_atom_site_fract_z
Fe1 Fe 0.0000 0.0000 0.0000
As1 As 0.0000 0.0000 0.5000
P1 P 0.5000 0.5000 0.1742

=====

Record 5
# FeAsP2 PBE optimized geometry
# * DFT formation energy: 50.8 kJ/mol of atoms
# * Fermi-level density of states: 0.7825 states/eV per atom
# * total magnetic moment: 2.6 Bohr magnetons per cell
data_FeAsP2
_chemical_formula_sum 'Fe1 As1 P2'
_cell_length_a 4.7052
_cell_length_b 4.7052
_cell_length_c 2.6746
_cell_angle_alpha 90.00
_cell_angle_beta 90.00
_cell_angle_gamma 90.00
_symmetry_space_group_name_H-M 'P 4/m m m'
_symmetry_Int_Tables_number 123
_symmetry_space_group_name_Hall '-P 4 2'
loop_
_atom_site_label
_atom_site_type_symbol
_atom_site_fract_x
_atom_site_fract_y
_atom_site_fract_z
Fe1 Fe 0.0000 0.0000 0.0000
As1 As 0.5000 0.5000 0.0000
P1 P 0.0000 0.5000 0.5000

=====

Record 6
# Fe2As2P PBE optimized geometry
# * DFT formation energy: 19.5 kJ/mol of atoms
# * Fermi-level density of states: 1.0238 states/eV per atom
# * ΔE to the lowest computed polymorph: 0 meV per atom
# * total magnetic moment: 0.0 Bohr magnetons per cell
data_Fe2As2P
_chemical_formula_sum 'Fe4 As4 P2'
_cell_length_a 6.9327
_cell_length_b 6.9327
_cell_length_c 2.7781
_cell_angle_alpha 90.00
_cell_angle_beta 90.00
_cell_angle_gamma 90.00
_symmetry_space_group_name_H-M 'P 4/m b m'
_symmetry_Int_Tables_number 127
_symmetry_space_group_name_Hall '-P 4 2ab'
loop_
_atom_site_label
_atom_site_type_symbol
_atom_site_fract_x
_atom_site_fract_y
_atom_site_fract_z
Fe1 Fe 0.1445 0.3555 0.0000
As1 As 0.1488 0.6488 0.5000
P1 P 0.0000 0.0000 0.0000

=====

Record 7
# FeAs2P PBE optimized geometry
# * DFT formation energy: 20.2 kJ/mol of atoms
# * Fermi-level density of states: 0.7094 states/eV per atom
# * total magnetic moment: 2.0 Bohr magnetons per cell
data_FeAs2P
_chemical_formula_sum 'Fe2 As4 P2'
_cell_length_a 2.7837
_cell_length_b 3.3559
_cell_length_c 14.2280
_cell_angle_alpha 90.00
_cell_angle_beta 90.00
_cell_angle_gamma 90.00
_symmetry_space_group_name_H-M 'I m m 2'
_symmetry_Int_Tables_number 44
_symmetry_space_group_name_Hall 'I 2 -2'
loop_
_atom_site_label
_atom_site_type_symbol
_atom_site_fract_x
_atom_site_fract_y
_atom_site_fract_z
Fe1 Fe 0.0000 0.0000 0.0000
As1 As 0.0000 0.0000 0.4189
As2 As 0.0000 0.5000 0.2328
P1 P 0.0000 0.5000 0.6229

=====

Record 8
# FeAs2P PBE optimized geometry
# * DFT formation energy: 26.7 kJ/mol of atoms
# * Fermi-level density of states: 1.0409 states/eV per atom
# * total magnetic moment: 9.9 Bohr magnetons per cell
data_FeAs2P
_chemical_formula_sum 'Fe4 As8 P4'
_cell_length_a 5.1173
_cell_length_b 7.1500
_cell_length_c 7.2886
_cell_angle_alpha 90.00
_cell_angle_beta 90.00
_cell_angle_gamma 90.00
_symmetry_space_group_name_H-M 'F m m m'
_symmetry_Int_Tables_number 69
_symmetry_space_group_name_Hall '-F 2 2'
loop_
_atom_site_label
_atom_site_type_symbol
_atom_site_fract_x
_atom_site_fract_y
_atom_site_fract_z
Fe1 Fe 0.0000 0.0000 0.0000
As1 As 0.0000 0.2500 0.2500
P1 P 0.0000 0.0000 0.5000

=====

Record 9
# FeAsP2 PBE optimized geometry
# * DFT formation energy: 12.8 kJ/mol of atoms
# * Fermi-level density of states: 0.5847 states/eV per atom
# * total magnetic moment: 0.5 Bohr magnetons per cell
data_FeAsP2
_chemical_formula_sum 'Fe1 As1 P2'
_cell_length_a 3.2023
_cell_length_b 3.3260
_cell_length_c 6.2072
_cell_angle_alpha 90.00
_cell_angle_beta 90.00
_cell_angle_gamma 90.00
_symmetry_space_group_name_H-M 'P m m 2'
_symmetry_Int_Tables_number 25
_symmetry_space_group_name_Hall 'P 2 -2'
loop_
_atom_site_label
_atom_site_type_symbol
_atom_site_fract_x
_atom_site_fract_y
_atom_site_fract_z
Fe1 Fe 0.0000 0.0000 0.0000
As1 As 0.0000 0.5000 0.3000
P1 P 0.5000 0.0000 0.7185
P2 P 0.5000 0.5000 0.9722

=====

Record 10
# FeAs2P PBE optimized geometry
# * DFT formation energy: 49.9 kJ/mol of atoms
# * Fermi-level density of states: 1.0128 states/eV per atom
# * total magnetic moment: 2.7 Bohr magnetons per cell
data_FeAs2P
_chemical_formula_sum 'Fe1 As2 P1'
_cell_length_a 4.7666
_cell_length_b 4.7666
_cell_length_c 2.7916
_cell_angle_alpha 90.00
_cell_angle_beta 90.00
_cell_angle_gamma 90.00
_symmetry_space_group_name_H-M 'P 4/m m m'
_symmetry_Int_Tables_number 123
_symmetry_space_group_name_Hall '-P 4 2'
loop_
_atom_site_label
_atom_site_type_symbol
_atom_site_fract_x
_atom_site_fract_y
_atom_site_fract_z
Fe1 Fe 0.0000 0.0000 0.0000
As1 As 0.0000 0.5000 0.5000
P1 P 0.5000 0.5000 0.0000

=====

Record 11
# FeAs2P PBE optimized geometry
# * DFT formation energy: 12.4 kJ/mol of atoms
# * Fermi-level density of states: 0.4562 states/eV per atom
# * total magnetic moment: 1.0 Bohr magnetons per cell
data_FeAs2P
_chemical_formula_sum 'Fe1 As2 P1'
_cell_length_a 3.0122
_cell_length_b 3.0122
_cell_length_c 7.0333
_cell_angle_alpha 90.00
_cell_angle_beta 90.00
_cell_angle_gamma 90.00
_symmetry_space_group_name_H-M 'P 4 m m'
_symmetry_Int_Tables_number 99
_symmetry_space_group_name_Hall 'P 4 -2'
loop_
_atom_site_label
_atom_site_type_symbol
_atom_site_fract_x
_atom_site_fract_y
_atom_site_fract_z
Fe1 Fe 0.0000 0.0000 0.0000
As1 As 0.0000 0.0000 0.3750
As2 As 0.5000 0.5000 0.7779
P1 P 0.5000 0.5000 0.1577

=====

Record 12
# FeAs2P PBE optimized geometry
# * DFT formation energy: 30.0 kJ/mol of atoms
# * Fermi-level density of states: 0.5932 states/eV per atom
# * total magnetic moment: 4.5 Bohr magnetons per cell
data_FeAs2P
_chemical_formula_sum 'Fe3 As6 P3'
_cell_length_a 2.9697
_cell_length_b 2.9697
_cell_length_c 24.7345
_cell_angle_alpha 90.00
_cell_angle_beta 90.00
_cell_angle_gamma 120.00
_symmetry_space_group_name_H-M 'R -3 m'
_symmetry_Int_Tables_number 166
_symmetry_space_group_name_Hall '-R 3 2"'
loop_
_atom_site_label
_atom_site_type_symbol
_atom_site_fract_x
_atom_site_fract_y
_atom_site_fract_z
Fe1 Fe 0.0000 0.0000 0.0000
As1 As 0.0000 0.0000 0.2628
P1 P 0.0000 0.0000 0.5000

=====

Record 13
# FeAsP2 PBE optimized geometry
# * DFT formation energy: 24.3 kJ/mol of atoms
# * Fermi-level density of states: 0.4072 states/eV per atom
# * total magnetic moment: 0.6 Bohr magnetons per cell
data_FeAsP2
_chemical_formula_sum 'Fe1 As1 P2'
_cell_length_a 2.7148
_cell_length_b 2.7148
_cell_length_c 8.4649
_cell_angle_alpha 90.00
_cell_angle_beta 90.00
_cell_angle_gamma 90.00
_symmetry_space_group_name_H-M 'P 4 m m'
_symmetry_Int_Tables_number 99
_symmetry_space_group_name_Hall 'P 4 -2'
loop_
_atom_site_label
_atom_site_type_symbol
_atom_site_fract_x
_atom_site_fract_y
_atom_site_fract_z
Fe1 Fe 0.0000 0.0000 0.0000
As1 As 0.5000 0.5000 0.8020
P1 P 0.0000 0.0000 0.4094
P2 P 0.5000 0.5000 0.1563

=====

Record 14
# FeAs2P PBE optimized geometry
# * DFT formation energy: 3.2 kJ/mol of atoms
# * Fermi-level density of states: 0.5860 states/eV per atom
# * total magnetic moment: 0.0 Bohr magnetons per cell
data_FeAs2P
_chemical_formula_sum 'Fe2 As4 P2'
_cell_length_a 7.2120
_cell_length_b 3.3435
_cell_length_c 5.7802
_cell_angle_alpha 90.00
_cell_angle_beta 101.44
_cell_angle_gamma 90.00
_symmetry_space_group_name_H-M 'C 1 m 1'
_symmetry_Int_Tables_number 8
_symmetry_space_group_name_Hall 'C -2y'
loop_
_atom_site_label
_atom_site_type_symbol
_atom_site_fract_x
_atom_site_fract_y
_atom_site_fract_z
Fe1 Fe 0.0000 0.0000 0.0000
As1 As 0.2264 0.5000 0.2579
As2 As 0.4682 0.0000 0.6622
P1 P 0.2885 0.0000 0.9430

=====

Record 15
# Fe3AsP PBE optimized geometry
# * DFT formation energy: 32.3 kJ/mol of atoms
# * Fermi-level density of states: 0.6807 states/eV per atom
# * ΔE to the lowest computed polymorph: 0 meV per atom
# * total magnetic moment: 5.8 Bohr magnetons per cell
data_Fe3AsP
_chemical_formula_sum 'Fe3 As1 P1'
_cell_length_a 4.1969
_cell_length_b 4.1969
_cell_length_c 4.1969
_cell_angle_alpha 90.00
_cell_angle_beta 90.00
_cell_angle_gamma 90.00
_symmetry_space_group_name_H-M 'P m -3 m'
_symmetry_Int_Tables_number 221
_symmetry_space_group_name_Hall '-P 4 2 3'
loop_
_atom_site_label
_atom_site_type_symbol
_atom_site_fract_x
_atom_site_fract_y
_atom_site_fract_z
Fe1 Fe 0.0000 0.0000 0.5000
As1 As 0.5000 0.5000 0.5000
P1 P 0.0000 0.0000 0.0000

=====

Record 16
# FeAsP2 PBE optimized geometry
# * DFT formation energy: -0.8 kJ/mol of atoms
# * Fermi-level density of states: 0.4498 states/eV per atom
# * total magnetic moment: 0.0 Bohr magnetons per cell
data_FeAsP2
_chemical_formula_sum 'Fe2 As2 P4'
_cell_length_a 6.6903
_cell_length_b 2.6942
_cell_length_c 7.6788
_cell_angle_alpha 90.00
_cell_angle_beta 108.17
_cell_angle_gamma 90.00
_symmetry_space_group_name_H-M 'C 1 2/m 1'
_symmetry_Int_Tables_number 12
_symmetry_space_group_name_Hall '-C 2y'
loop_
_atom_site_label
_atom_site_type_symbol
_atom_site_fract_x
_atom_site_fract_y
_atom_site_fract_z
Fe1 Fe 0.0000 0.0000 0.0000
As1 As 0.0000 0.5000 0.5000
P1 P 0.1516 0.5000 0.8442

=====

Record 17
# FeAs2P PBE optimized geometry
# * DFT formation energy: 26.6 kJ/mol of atoms
# * Fermi-level density of states: 0.7480 states/eV per atom
# * total magnetic moment: 2.3 Bohr magnetons per cell
data_FeAs2P
_chemical_formula_sum 'Fe1 As2 P1'
_cell_length_a 2.7367
_cell_length_b 3.3379
_cell_length_c 6.9904
_cell_angle_alpha 90.00
_cell_angle_beta 90.00
_cell_angle_gamma 90.00
_symmetry_space_group_name_H-M 'P m m m'
_symmetry_Int_Tables_number 47
_symmetry_space_group_name_Hall '-P 2 2'
loop_
_atom_site_label
_atom_site_type_symbol
_atom_site_fract_x
_atom_site_fract_y
_atom_site_fract_z
Fe1 Fe 0.0000 0.0000 0.0000
As1 As 0.5000 0.5000 0.2193
P1 P 0.5000 0.0000 0.5000

=====

Record 18
# FeAsP2 PBE optimized geometry
# * DFT formation energy: 13.7 kJ/mol of atoms
# * Fermi-level density of states: 0.5649 states/eV per atom
# * total magnetic moment: 1.2 Bohr magnetons per cell
data_FeAsP2
_chemical_formula_sum 'Fe2 As2 P4'
_cell_length_a 3.2024
_cell_length_b 3.3997
_cell_length_c 11.6233
_cell_angle_alpha 90.00
_cell_angle_beta 90.00
_cell_angle_gamma 90.00
_symmetry_space_group_name_H-M 'I m m 2'
_symmetry_Int_Tables_number 44
_symmetry_space_group_name_Hall 'I 2 -2'
loop_
_atom_site_label
_atom_site_type_symbol
_atom_site_fract_x
_atom_site_fract_y
_atom_site_fract_z
Fe1 Fe 0.0000 0.0000 0.0000
As1 As 0.0000 0.5000 0.1626
P1 P 0.0000 0.0000 0.4954
P2 P 0.0000 0.5000 0.8552

=====

Record 19
# FeAs2P PBE optimized geometry
# * DFT formation energy: 31.6 kJ/mol of atoms
# * Fermi-level density of states: 0.3851 states/eV per atom
# * total magnetic moment: 1.1 Bohr magnetons per cell
data_FeAs2P
_chemical_formula_sum 'Fe1 As2 P1'
_cell_length_a 3.0044
_cell_length_b 3.0044
_cell_length_c 6.6663
_cell_angle_alpha 90.00
_cell_angle_beta 90.00
_cell_angle_gamma 90.00
_symmetry_space_group_name_H-M 'P 4/m m m'
_symmetry_Int_Tables_number 123
_symmetry_space_group_name_Hall '-P 4 2'
loop_
_atom_site_label
_atom_site_type_symbol
_atom_site_fract_x
_atom_site_fract_y
_atom_site_fract_z
Fe1 Fe 0.0000 0.0000 0.0000
As1 As 0.5000 0.5000 0.2152
P1 P 0.0000 0.0000 0.5000

=====

Record 20
# Fe2As2P PBE optimized geometry
# * DFT formation energy: 40.0 kJ/mol of atoms
# * Fermi-level density of states: 1.0420 states/eV per atom
# * ΔE to the lowest computed polymorph: 213 meV per atom
# * total magnetic moment: 8.4 Bohr magnetons per cell
data_Fe2As2P
_chemical_formula_sum 'Fe4 As4 P2'
_cell_length_a 3.6918
_cell_length_b 3.6918
_cell_length_c 11.4453
_cell_angle_alpha 90.00
_cell_angle_beta 90.00
_cell_angle_gamma 90.00
_symmetry_space_group_name_H-M 'I 4/m m m'
_symmetry_Int_Tables_number 139
_symmetry_space_group_name_Hall '-I 4 2'
loop_
_atom_site_label
_atom_site_type_symbol
_atom_site_fract_x
_atom_site_fract_y
_atom_site_fract_z
Fe1 Fe 0.0000 0.0000 0.1060
As1 As 0.0000 0.5000 0.2500
P1 P 0.0000 0.0000 0.5000